[1]
Density functional theory data (PBE-GGA) for crystalline CaH12Pd7 at its relaxed geometry.

Cell and atoms, written as CIF:
```
data_CaH12Pd7
_chemical_formula_sum 'Ca1 H12 Pd7'
_cell_length_a 9.903
_cell_length_b 5.654
_cell_length_c 5.654
_cell_angle_alpha 90.64
_cell_angle_beta 54.28
_cell_angle_gamma 125.72
_space_group_name_H-M_alt 'P 1'
_space_group_IT_number 1
loop_
_space_group_symop_operation_xyz
'x,y,z'
loop_
_atom_site_label
_atom_site_type_symbol
_atom_site_fract_x
_atom_site_fract_y
_atom_site_fract_z
_atom_site_occupancy
Ca1 Ca 0.000 0.000 0.000 1
H1 H 0.853 0.458 0.209 1
H2 H 0.938 0.791 0.667 1
H3 H 0.549 0.360 0.872 1
H4 H 0.579 0.128 0.232 1
H5 H 0.606 0.667 0.542 1
H6 H 0.811 0.232 0.640 1
H7 H 0.189 0.768 0.360 1
H8 H 0.394 0.333 0.458 1
H9 H 0.421 0.872 0.768 1
H10 H 0.451 0.640 0.128 1
H11 H 0.062 0.209 0.333 1
H12 H 0.147 0.542 0.791 1
Pd1 Pd 0.925 0.452 0.832 1
Pd2 Pd 0.243 0.168 0.284 1
Pd3 Pd 0.527 0.284 0.548 1
Pd4 Pd 0.500 0.000 0.000 1
Pd5 Pd 0.473 0.716 0.452 1
Pd6 Pd 0.757 0.832 0.716 1
Pd7 Pd 0.075 0.548 0.168 1
```

Properties
**Space-group type**: No. 148
**Total moment**: 0.00 μB/f.u.
**Raw total energy**: -4.05 eV per atom

[2]
Density functional theory data (PBE-GGA) for crystalline CaH3Pd at its relaxed geometry.

Cell and atoms, written as CIF:
```
data_CaH3Pd
_chemical_formula_sum 'Ca2 H6 Pd2'
_cell_length_a 3.408
_cell_length_b 3.408
_cell_length_c 11.276
_cell_angle_alpha 90.00
_cell_angle_beta 90.00
_cell_angle_gamma 120.00
_space_group_name_H-M_alt 'P 1'
_space_group_IT_number 1
loop_
_space_group_symop_operation_xyz
'x,y,z'
loop_
_atom_site_label
_atom_site_type_symbol
_atom_site_fract_x
_atom_site_fract_y
_atom_site_fract_z
_atom_site_occupancy
H1 H 0.000 0.000 0.250 1
H2 H 0.000 0.000 0.750 1
H3 H 0.333 0.667 0.953 1
H4 H 0.333 0.667 0.547 1
H5 H 0.667 0.333 0.453 1
H6 H 0.667 0.333 0.047 1
Ca1 Ca 0.333 0.667 0.750 1
Ca2 Ca 0.667 0.333 0.250 1
Pd1 Pd 0.000 0.000 0.000 1
Pd2 Pd 0.000 0.000 0.500 1
```

Properties
**Space-group type**: No. 194
**Total moment**: 0.00 μB/f.u.
**Raw total energy**: -3.47 eV per atom

[3]
Density functional theory data (PBE-GGA) for crystalline CaH3Pd at its relaxed geometry.

Cell and atoms, written as CIF:
```
data_CaH3Pd
_chemical_formula_sum 'Ca1 H3 Pd1'
_cell_length_a 4.010
_cell_length_b 4.010
_cell_length_c 4.010
_cell_angle_alpha 90.00
_cell_angle_beta 90.00
_cell_angle_gamma 90.00
_space_group_name_H-M_alt 'P 1'
_space_group_IT_number 1
loop_
_space_group_symop_operation_xyz
'x,y,z'
loop_
_atom_site_label
_atom_site_type_symbol
_atom_site_fract_x
_atom_site_fract_y
_atom_site_fract_z
_atom_site_occupancy
H1 H 0.000 0.500 0.000 1
H2 H 0.000 0.000 0.500 1
H3 H 0.500 0.000 0.000 1
Ca1 Ca 0.000 0.000 0.000 1
Pd1 Pd 0.500 0.500 0.500 1
```

Properties
**Space-group type**: No. 221
**Total moment**: 0.00 μB/f.u.
**Raw total energy**: -3.00 eV per atom

[4]
Density functional theory data (PBE-GGA) for crystalline CaHPd3 at its relaxed geometry.

Cell and atoms, written as CIF:
```
data_CaHPd3
_chemical_formula_sum 'Ca2 H2 Pd6'
_cell_length_a 3.141
_cell_length_b 3.141
_cell_length_c 17.895
_cell_angle_alpha 90.00
_cell_angle_beta 90.00
_cell_angle_gamma 120.00
_space_group_name_H-M_alt 'P 1'
_space_group_IT_number 1
loop_
_space_group_symop_operation_xyz
'x,y,z'
loop_
_atom_site_label
_atom_site_type_symbol
_atom_site_fract_x
_atom_site_fract_y
_atom_site_fract_z
_atom_site_occupancy
H1 H 0.333 0.667 0.750 1
H2 H 0.667 0.333 0.250 1
Ca1 Ca 0.000 0.000 0.000 1
Ca2 Ca 0.000 0.000 0.500 1
Pd1 Pd 0.000 0.000 0.250 1
Pd2 Pd 0.000 0.000 0.750 1
Pd3 Pd 0.333 0.667 0.875 1
Pd4 Pd 0.333 0.667 0.625 1
Pd5 Pd 0.667 0.333 0.375 1
Pd6 Pd 0.667 0.333 0.125 1
```

Properties
**Space-group type**: No. 194
**Total moment**: 0.00 μB/f.u.
**Energy above the most stable polymorph in this dataset**: 421 meV per atom

[5]
Density functional theory data (PBE-GGA) for crystalline CaH3Pd at its relaxed geometry.

Cell and atoms, written as CIF:
```
data_CaH3Pd
_chemical_formula_sum 'Ca2 H6 Pd2'
_cell_length_a 4.283
_cell_length_b 5.148
_cell_length_c 5.223
_cell_angle_alpha 90.00
_cell_angle_beta 99.42
_cell_angle_gamma 90.00
_space_group_name_H-M_alt 'P 1'
_space_group_IT_number 1
loop_
_space_group_symop_operation_xyz
'x,y,z'
loop_
_atom_site_label
_atom_site_type_symbol
_atom_site_fract_x
_atom_site_fract_y
_atom_site_fract_z
_atom_site_occupancy
H1 H 0.689 0.025 0.169 1
H2 H 0.311 0.975 0.831 1
H3 H 0.689 0.475 0.169 1
H4 H 0.311 0.525 0.831 1
H5 H 0.740 0.250 0.614 1
H6 H 0.260 0.750 0.386 1
Ca1 Ca 0.202 0.250 0.339 1
Ca2 Ca 0.798 0.750 0.661 1
Pd1 Pd 0.564 0.250 0.904 1
Pd2 Pd 0.436 0.750 0.096 1
```

Properties
**Space-group type**: No. 11
**Total moment**: 0.00 μB/f.u.
**Raw total energy**: -3.86 eV per atom

[6]
Density functional theory data (PBE-GGA) for crystalline CaHPd3 at its relaxed geometry.

Cell and atoms, written as CIF:
```
data_CaHPd3
_chemical_formula_sum 'Ca2 H2 Pd6'
_cell_length_a 4.448
_cell_length_b 7.276
_cell_length_c 5.404
_cell_angle_alpha 90.00
_cell_angle_beta 65.67
_cell_angle_gamma 90.00
_space_group_name_H-M_alt 'P 1'
_space_group_IT_number 1
loop_
_space_group_symop_operation_xyz
'x,y,z'
loop_
_atom_site_label
_atom_site_type_symbol
_atom_site_fract_x
_atom_site_fract_y
_atom_site_fract_z
_atom_site_occupancy
H1 H 0.530 0.250 0.939 1
H2 H 0.470 0.750 0.061 1
Ca1 Ca 0.920 0.250 0.161 1
Ca2 Ca 0.080 0.750 0.839 1
Pd1 Pd 0.636 0.443 0.727 1
Pd2 Pd 0.364 0.557 0.273 1
Pd3 Pd 0.636 0.057 0.727 1
Pd4 Pd 0.364 0.943 0.273 1
Pd5 Pd 0.214 0.250 0.571 1
Pd6 Pd 0.786 0.750 0.429 1
```

Properties
**Space-group type**: No. 63
**Total moment**: 0.00 μB/f.u.
**Energy above the most stable polymorph in this dataset**: 138 meV per atom

Result set for density: 7.3, 4.4, 3.8, 7.8, 4.4, 7.5 g/cm³, one per record in the order listed.
Result set for density of states at the Fermi level: 2.99, 2.63, 3.98, 1.73, 0.52, 1.73 states/eV/f.u., one per record in the order listed.